# 1
Pr2Ho5Ni2 | PBE | relaxed

a = 10.6950 Å, b = 10.6950 Å, c = 6.9849 Å
α = 90.00°, β = 90.00°, γ = 38.26°
With the nearest neighbours (Å) after each atom.
Element x y z (fractional)
1 Pr 0.2303 0.2303 0.0000  4 Pr 3.58-3.59, 6 Ho 3.60-3.74
2 Pr 0.2697 0.2697 0.5000  4 Pr 3.58-3.59, 6 Ho 3.60-3.74
3 Pr 0.7303 0.7303 0.5000  4 Pr 3.58-3.59, 6 Ho 3.60-3.74
4 Pr 0.7697 0.7697 0.0000  4 Pr 3.58-3.59, 6 Ho 3.60-3.74
5 Ho 0.0000 0.0000 0.0000  4 Ni 2.78
6 Ho 0.0709 0.7184 0.6728  3 Ni 2.93-3.01
7 Ho 0.2184 0.5709 0.1728  3 Ni 2.93-3.01
8 Ho 0.2816 0.9291 0.6728  3 Ni 2.93-3.01
9 Ho 0.4291 0.7816 0.1728  3 Ni 2.93-3.01
10 Ho 0.5000 0.5000 0.5000  4 Ni 2.78
11 Ho 0.5709 0.2184 0.8272  3 Ni 2.93-3.01
12 Ho 0.7184 0.0709 0.3272  3 Ni 2.93-3.01
13 Ho 0.7816 0.4291 0.8272  3 Ni 2.93-3.01
14 Ho 0.9291 0.2816 0.3272  3 Ni 2.93-3.01
15 Ni 0.1220 0.8780 0.3786  1 Ni 2.41
16 Ni 0.3780 0.6220 0.8786  1 Ni 2.41
17 Ni 0.6220 0.3780 0.1214  1 Ni 2.41
18 Ni 0.8780 0.1220 0.6214  1 Ni 2.41

Output
energy of formation from the pure elements	-157	meV per atom
symmetry	No. 64

=====

# 2
PrHo2Ni | PBE | relaxed

a = 3.4430 Å, b = 3.4430 Å, c = 8.8494 Å
α = 90.00°, β = 90.00°, γ = 90.00°
With the nearest neighbours (Å) after each atom.
Element x y z (fractional)
1 Pr 0.0000 0.0000 0.0000  4 Pr 3.44, 8 Ho 3.73
2 Ho 0.5000 0.5000 0.3197  4 Ni 2.91, 1 Ho 3.19
3 Ho 0.5000 0.5000 0.6803  4 Ni 2.91, 1 Ho 3.19
4 Ni 0.0000 0.0000 0.5000  8 Ho 2.91

Output
energy of formation from the pure elements	-190	meV per atom
ΔE to the lowest computed polymorph	0.02	eV per formula unit
symmetry	No. 123

=====

# 3
PrHo3Ni | PBE | relaxed

a = 7.4706 Å, b = 7.4706 Å, c = 5.9022 Å
α = 90.00°, β = 90.00°, γ = 120.00°
With the nearest neighbours (Å) after each atom.
Element x y z (fractional)
1 Pr 0.3333 0.6667 0.2500  12 Ho 3.58-3.74
2 Pr 0.6667 0.3333 0.7500  12 Ho 3.58-3.74
3 Ho 0.1762 0.3524 0.7500  2 Ni 2.72
4 Ho 0.1762 0.8238 0.7500  2 Ni 2.72
5 Ho 0.3524 0.1762 0.2500  2 Ni 2.72
6 Ho 0.6476 0.8238 0.7500  2 Ni 2.72
7 Ho 0.8238 0.1762 0.2500  2 Ni 2.72
8 Ho 0.8238 0.6476 0.2500  2 Ni 2.72
9 Ni 0.0000 0.0000 0.0000  6 Ho 2.72, 2 Ni 2.95
10 Ni 0.0000 0.0000 0.5000  6 Ho 2.72, 2 Ni 2.95

Output
energy of formation from the pure elements	-108	meV per atom
ΔE to the lowest computed polymorph	0.00	eV per formula unit
symmetry	No. 194

=====

# 4
Pr2HoNi | PBE | relaxed

a = 10.7504 Å, b = 10.7504 Å, c = 10.7504 Å
α = 19.74°, β = 19.74°, γ = 19.74°
With the nearest neighbours (Å) after each atom.
Element x y z (fractional)
1 Pr 0.1097 0.1097 0.1097  3 Ni 2.79
2 Pr 0.8903 0.8903 0.8903  3 Ni 2.79
3 Ho 0.0000 0.0000 0.0000  2 Pr 3.47, 6 Ho 3.69
4 Ni 0.5000 0.5000 0.5000  6 Pr 2.79

Output
energy of formation from the pure elements	159	meV per atom
ΔE to the lowest computed polymorph	0.78	eV per formula unit
symmetry	No. 166

=====

# 5
Pr3HoNi8 | PBE | relaxed

a = 8.9600 Å, b = 8.9600 Å, c = 8.9600 Å
α = 33.47°, β = 33.47°, γ = 33.47°
With the nearest neighbours (Å) after each atom.
Element x y z (fractional)
1 Pr 0.0000 0.0000 0.0000  12 Ni 3.03-3.07, 4 Pr 3.17-3.18
2 Pr 0.1254 0.1254 0.1254  12 Ni 2.98-3.02, 3 Ho 3.15, 1 Pr 3.18
3 Pr 0.6239 0.6239 0.6239  12 Ni 3.03-3.09, 1 Ho 3.15, 3 Pr 3.17
4 Ho 0.4995 0.4995 0.4995  12 Ni 2.99-3.02, 4 Pr 3.15
5 Ni 0.0607 0.0607 0.5605  6 Ni 2.54-2.61
6 Ni 0.0607 0.5605 0.0607  6 Ni 2.54-2.61
7 Ni 0.0667 0.5621 0.5621  6 Ni 2.56-2.61
8 Ni 0.3121 0.3121 0.3121  6 Ni 2.61
9 Ni 0.5605 0.0607 0.0607  6 Ni 2.54-2.61
10 Ni 0.5621 0.0667 0.5621  6 Ni 2.56-2.61
11 Ni 0.5621 0.5621 0.0667  6 Ni 2.56-2.61
12 Ni 0.8127 0.8127 0.8127  6 Ni 2.54-2.57

Output
energy of formation from the pure elements	-321	meV per atom
symmetry	No. 160

=====

# 6
PrHoNi2 | PBE | relaxed

a = 3.4374 Å, b = 3.4374 Å, c = 6.8801 Å
α = 90.00°, β = 90.00°, γ = 90.00°
With the nearest neighbours (Å) after each atom.
Element x y z (fractional)
1 Pr 0.0000 0.0000 0.0000  8 Ni 3.07, 4 Pr 3.44, 2 Ho 3.44
2 Ho 0.0000 0.0000 0.5000  8 Ni 2.89
3 Ni 0.5000 0.5000 0.2736  4 Ho 2.89, 4 Pr 3.07, 1 Ni 3.11
4 Ni 0.5000 0.5000 0.7264  4 Ho 2.89, 4 Pr 3.07, 1 Ni 3.11

Output
energy of formation from the pure elements	-292	meV per atom
ΔE to the lowest computed polymorph	0.32	eV per formula unit
symmetry	No. 123

=====

# 7
PrHoNi2 | PBE | relaxed

a = 4.2776 Å, b = 5.5215 Å, c = 5.5215 Å
α = 40.28°, β = 90.00°, γ = 90.00°
With the nearest neighbours (Å) after each atom.
Element x y z (fractional)
1 Pr 0.0000 0.0000 0.0000  7 Ni 2.94-2.96
2 Ho 0.5000 0.7231 0.7231  7 Ni 2.83-3.09
3 Ni 0.0000 0.2839 0.2839  2 Ni 2.59
4 Ni 0.5000 0.4252 0.4252  2 Ni 2.59, 2 Ho 2.83

Output
energy of formation from the pure elements	-371	meV per atom
ΔE to the lowest computed polymorph	0.00	eV per formula unit
symmetry	No. 38

=====

# 8
PrHoNiPt | PBE | relaxed

a = 4.9702 Å, b = 4.9702 Å, c = 4.9702 Å
α = 60.00°, β = 60.00°, γ = 60.00°
With the nearest neighbours (Å) after each atom.
Element x y z (fractional)
1 Pr 0.0000 0.0000 0.0000  4 Ni 3.04, 4 Pt 3.04
2 Ho 0.5000 0.5000 0.5000  4 Ni 3.04, 4 Pt 3.04
3 Ni 0.7500 0.7500 0.7500  4 Pr 3.04, 4 Ho 3.04
4 Pt 0.2500 0.2500 0.2500  4 Ho 3.04, 4 Pr 3.04

Output
energy of formation from the pure elements	-691	meV per atom
ΔE to the lowest computed polymorph	0.37	eV per formula unit
symmetry	No. 216

=====

# 9
PrHoNiPt | PBE | relaxed

a = 4.4724 Å, b = 5.5031 Å, c = 5.5031 Å
α = 41.57°, β = 90.00°, γ = 90.00°
With the nearest neighbours (Å) after each atom.
Element x y z (fractional)
1 Pr 0.0000 0.0000 0.0000  3 Ni 2.85-3.02, 4 Pt 3.05
2 Ho 0.5000 0.2805 0.2805  3 Pt 2.92-2.98, 4 Ni 3.03
3 Ni 0.0000 0.7233 0.7233  2 Pt 2.74, 3 Pr 2.85-3.02, 4 Ho 3.03
4 Pt 0.5000 0.5696 0.5696  2 Ni 2.74, 3 Ho 2.92-2.98, 4 Pr 3.05

Output
energy of formation from the pure elements	-784	meV per atom
ΔE to the lowest computed polymorph	0.00	eV per formula unit
symmetry	No. 38

=====

# 10
PrHoNiRh | PBE | relaxed

a = 4.9169 Å, b = 4.9169 Å, c = 4.9169 Å
α = 60.00°, β = 60.00°, γ = 60.00°
With the nearest neighbours (Å) after each atom.
Element x y z (fractional)
1 Pr 0.0000 0.0000 0.0000  4 Rh 3.01, 4 Ni 3.01
2 Ho 0.5000 0.5000 0.5000  4 Rh 3.01, 4 Ni 3.01
3 Ni 0.2500 0.2500 0.2500  4 Ho 3.01, 4 Pr 3.01
4 Rh 0.7500 0.7500 0.7500  4 Pr 3.01, 4 Ho 3.01

Output
energy of formation from the pure elements	-504	meV per atom
ΔE to the lowest computed polymorph	0.27	eV per formula unit
symmetry	No. 216

=====

# 11
PrHoNiRh | PBE | relaxed

a = 4.1206 Å, b = 5.7732 Å, c = 5.7732 Å
α = 39.46°, β = 90.00°, γ = 90.00°
With the nearest neighbours (Å) after each atom.
Element x y z (fractional)
1 Pr 0.0000 0.0000 0.0000  4 Ni 2.94, 3 Rh 2.98-3.14
2 Ho 0.5000 0.2804 0.2804  4 Rh 2.90, 3 Ni 3.00-3.16
3 Ni 0.5000 0.5708 0.5708  2 Rh 2.66, 4 Pr 2.94
4 Rh 0.0000 0.7261 0.7261  2 Ni 2.66, 4 Ho 2.90, 1 Pr 2.98

Output
energy of formation from the pure elements	-571	meV per atom
ΔE to the lowest computed polymorph	0.00	eV per formula unit
symmetry	No. 38

=====

# 12
Pr2HoSi3Ni12 | PBE | relaxed

a = 7.6799 Å, b = 7.6799 Å, c = 7.6799 Å
α = 58.13°, β = 58.13°, γ = 58.13°
With the nearest neighbours (Å) after each atom.
Element x y z (fractional)
1 Pr 0.0997 0.0997 0.0997  6 Ni 2.66-2.75
2 Pr 0.9003 0.9003 0.9003  6 Ni 2.66-2.75
3 Ho 0.5000 0.5000 0.5000  6 Ni 2.90
4 Si 0.0000 0.5000 0.5000  6 Ni 2.16-2.28
5 Si 0.5000 0.0000 0.5000  6 Ni 2.16-2.28
6 Si 0.5000 0.5000 0.0000  6 Ni 2.16-2.28
7 Ni 0.0268 0.6605 0.6605  1 Si 2.28, 2 Ni 2.46
8 Ni 0.1483 0.1483 0.6145  2 Si 2.16
9 Ni 0.1483 0.6145 0.1483  2 Si 2.16
10 Ni 0.3395 0.3395 0.9732  1 Si 2.28, 2 Ni 2.46
11 Ni 0.3395 0.9732 0.3395  1 Si 2.28, 2 Ni 2.46
12 Ni 0.3855 0.8517 0.8517  2 Si 2.16
13 Ni 0.6145 0.1483 0.1483  2 Si 2.16
14 Ni 0.6605 0.0268 0.6605  1 Si 2.28, 2 Ni 2.46
15 Ni 0.6605 0.6605 0.0268  1 Si 2.28, 2 Ni 2.46
16 Ni 0.8517 0.3855 0.8517  2 Si 2.16
17 Ni 0.8517 0.8517 0.3855  2 Si 2.16
18 Ni 0.9732 0.3395 0.3395  1 Si 2.28, 2 Ni 2.46

Output
E_form (uncorrected)	0.042	eV per atom
symmetry	No. 166

=====

# 13
Pr2HoZn12Ni3 | PBE | relaxed

a = 9.2956 Å, b = 9.2956 Å, c = 9.2956 Å
α = 45.43°, β = 45.43°, γ = 45.43°
With the nearest neighbours (Å) after each atom.
Element x y z (fractional)
1 Pr 0.1261 0.1261 0.1261  6 Zn 3.05-3.08
2 Pr 0.8739 0.8739 0.8739  6 Zn 3.05-3.08
3 Ho 0.5000 0.5000 0.5000  12 Zn 3.14-3.26
4 Zn 0.0055 0.6459 0.6459  1 Ni 2.54, 4 Zn 2.58
5 Zn 0.2537 0.2537 0.6562  2 Ni 2.34, 2 Zn 2.58
6 Zn 0.2537 0.6562 0.2537  2 Ni 2.34, 2 Zn 2.58
7 Zn 0.3438 0.7463 0.7463  2 Ni 2.34, 2 Zn 2.58
8 Zn 0.3541 0.3541 0.9945  1 Ni 2.54, 4 Zn 2.58
9 Zn 0.3541 0.9945 0.3541  1 Ni 2.54, 4 Zn 2.58
10 Zn 0.6459 0.0055 0.6459  1 Ni 2.54, 4 Zn 2.58
11 Zn 0.6459 0.6459 0.0055  1 Ni 2.54, 4 Zn 2.58
12 Zn 0.6562 0.2537 0.2537  2 Ni 2.34, 2 Zn 2.58
13 Zn 0.7463 0.3438 0.7463  2 Ni 2.34, 2 Zn 2.58
14 Zn 0.7463 0.7463 0.3438  2 Ni 2.34, 2 Zn 2.58
15 Zn 0.9945 0.3541 0.3541  1 Ni 2.54, 4 Zn 2.58
16 Ni 0.0000 0.5000 0.5000  6 Zn 2.34-2.54
17 Ni 0.5000 0.0000 0.5000  6 Zn 2.34-2.54
18 Ni 0.5000 0.5000 0.0000  6 Zn 2.34-2.54

Output
energy of formation from the pure elements	71	meV per atom
symmetry	No. 166